No. 1
Below is a relaxed structure of NaLa3Pt8, with properties calculated at the PBE-GGA level.

POSCAR file:
```
NaLa3Pt8
1.0
2.756 1.591 9.022
-2.756 1.591 9.022
0.000 -3.182 9.022
Na La Pt
1 3 8
Direct
0.000 0.000 0.000
0.121 0.121 0.121
0.505 0.505 0.505
0.634 0.634 0.634
0.066 0.066 0.565
0.066 0.565 0.066
0.068 0.565 0.565
0.316 0.316 0.316
0.565 0.066 0.066
0.565 0.068 0.565
0.565 0.565 0.068
0.816 0.816 0.816
```

Computed properties:
space group = No. 160
raw total energy = -76.28 eV per cell
M_tot = 0.0 μB/f.u.
calculated formation energy = -11.86 eV per formula unit
calculated volume = 19.8 Å³/atom

No. 2
Below is a relaxed structure of NaLa2Pt2, with properties calculated at the PBE-GGA level.

POSCAR file:
```
NaLa2Pt2
1.0
8.550 0.000 0.000
0.000 8.550 0.000
0.000 0.000 3.566
Na La Pt
2 4 4
Direct
0.000 0.000 0.000
0.500 0.500 0.000
0.148 0.352 0.000
0.352 0.852 0.000
0.648 0.148 0.000
0.852 0.648 0.000
0.145 0.645 0.500
0.355 0.145 0.500
0.645 0.855 0.500
0.855 0.355 0.500
```

Computed properties:
space group = No. 127
raw total energy = -53.78 eV per cell
M_tot = 0.0 μB/f.u.
calculated formation energy = -3.63 eV per formula unit
excess energy over the best structure of this formula in the dataset = 0.164 eV per atom
calculated volume = 26.1 Å³/atom

No. 3
Below is a relaxed structure of Na2LaPt9, with properties calculated at the PBE-GGA level.

POSCAR file:
```
Na2LaPt9
1.0
2.705 1.561 8.825
-2.705 1.561 8.825
0.000 -3.123 8.825
Na La Pt
2 1 9
Direct
0.145 0.145 0.145
0.855 0.855 0.855
0.000 0.000 0.000
0.082 0.586 0.586
0.333 0.333 0.333
0.414 0.414 0.918
0.414 0.918 0.414
0.500 0.500 0.500
0.586 0.082 0.586
0.586 0.586 0.082
0.667 0.667 0.667
0.918 0.414 0.414
```

Computed properties:
space group = No. 166
raw total energy = -68.47 eV per cell
M_tot = 0.0 μB/f.u.
calculated formation energy = -6.54 eV per formula unit
calculated volume = 18.6 Å³/atom

No. 4
Below is a relaxed structure of NaLa2Pt2, with properties calculated at the PBE-GGA level.

POSCAR file:
```
NaLa2Pt2
1.0
8.168 0.000 0.000
0.000 8.168 0.000
0.000 0.000 3.884
Na La Pt
2 4 4
Direct
0.000 0.000 0.000
0.500 0.500 0.000
0.160 0.340 0.500
0.340 0.840 0.500
0.660 0.160 0.500
0.840 0.660 0.500
0.134 0.634 0.000
0.366 0.134 0.000
0.634 0.866 0.000
0.866 0.366 0.000
```

Computed properties:
space group = No. 127
raw total energy = -55.41 eV per cell
M_tot = 0.0 μB/f.u.
calculated formation energy = -4.45 eV per formula unit
excess energy over the best structure of this formula in the dataset = 0.000 eV per atom
calculated volume = 25.9 Å³/atom

No. 5
Below is a relaxed structure of NaLaPt3, with properties calculated at the PBE-GGA level.

POSCAR file:
```
NaLaPt3
1.0
4.752 0.000 0.000
0.000 4.752 0.000
0.000 0.000 4.752
Na La Pt
1 1 3
Direct
0.000 0.000 0.000
0.500 0.500 0.500
0.000 0.000 0.500
0.000 0.500 0.000
0.500 0.000 0.000
```

Computed properties:
space group = No. 221
raw total energy = -23.37 eV per cell
M_tot = 0.0 μB/f.u.
calculated formation energy = 1.00 eV per formula unit
excess energy over the best structure of this formula in the dataset = 0.000 eV per atom
calculated volume = 21.5 Å³/atom

No. 6
Below is a relaxed structure of NaLaPt2, with properties calculated at the PBE-GGA level.

POSCAR file:
```
NaLaPt2
1.0
3.741 0.000 0.000
0.000 3.741 0.000
0.000 0.000 6.086
Na La Pt
1 1 2
Direct
0.000 0.000 0.000
0.000 0.000 0.500
0.500 0.500 0.241
0.500 0.500 0.759
```

Computed properties:
space group = No. 123
raw total energy = -21.07 eV per cell
M_tot = 0.0 μB/f.u.
calculated formation energy = -2.74 eV per formula unit
calculated volume = 21.3 Å³/atom

- M_tot of number 3 (Na2LaPt9)?
  0.0 μB/f.u.